Record 1
AcH6Au after structural relaxation, computed with PBE-GGA.

Values from the calculation:
electronic total energy	-28.3	eV per cell
DOS at the Fermi energy	0.10	states/eV/atom

Cell lengths 4.7523, 4.7523, 5.0316 Å; angles 61.82, 61.82, 60.00 degrees
With the nearest neighbours (Å) after each atom.
Sites, in units of the cell vectors:
H  0.8970  0.8970  0.7671  1 Au 1.78
H  0.8970  0.4389  0.7671  1 Au 1.78
H  0.4389  0.8970  0.7671  1 Au 1.78
H  0.5611  0.1030  0.2329  1 Au 1.78
H  0.1030  0.5611  0.2329  1 Au 1.78
H  0.1030  0.1030  0.2329  1 Au 1.78
Au  0.0000  0.0000  0.0000  6 H 1.78
Ac  0.5000  0.5000  0.5000  12 H 2.63

Record 2
Ac2HAu after structural relaxation, computed with PBE-GGA.

Values from the calculation:
offset from the most stable computed form	0.0000	eV/atom
electronic total energy	-16.7	eV per cell
DOS at the Fermi energy	0.72	states/eV/atom

Cell lengths 4.3660, 4.3660, 7.3464 Å; angles 72.71, 72.71, 60.00 degrees
With the nearest neighbours (Å) after each atom.
Sites, in units of the cell vectors:
H  0.5000  0.5000  0.5000  6 Ac 2.96
Au  0.0000  0.0000  0.0000  6 Ac 3.15
Ac  0.7581  0.7581  0.7258  3 H 2.96, 3 Au 3.15
Ac  0.2419  0.2419  0.2742  3 H 2.96, 3 Au 3.15

Record 3
AcH2Au6 after structural relaxation, computed with PBE-GGA.

Values from the calculation:
electronic total energy	-32.9	eV per cell
DOS at the Fermi energy	0.21	states/eV/atom

Cell lengths 4.8185, 6.3516, 6.3515 Å; angles 92.20, 67.71, 67.71 degrees
With the nearest neighbours (Å) after each atom.
Sites, in units of the cell vectors:
Au  0.8041  0.8564  0.5343  1 H 1.88
Au  0.5000  0.6526  0.3474  7 Au 2.79-2.82
Au  0.1959  0.4657  0.1436  1 H 1.88
Au  0.1959  0.1436  0.4657  1 H 1.88
Au  0.8041  0.5343  0.8564  1 H 1.88
Au  0.5000  0.3474  0.6526  7 Au 2.79-2.82
H  0.3547  0.1467  0.1467  2 Au 1.88
H  0.6453  0.8533  0.8533  2 Au 1.88
Ac  0.0000  0.0000  0.0000  4 H 2.63-2.65

Record 4
AcHAu after structural relaxation, computed with PBE-GGA.

Values from the calculation:
offset from the most stable computed form	0.1868	eV/atom
electronic total energy	-12.3	eV per cell
DOS at the Fermi energy	0.78	states/eV/atom

Cell lengths 4.2437, 4.2437, 4.4238 Å; angles 90.00, 90.00, 120.00 degrees
With the nearest neighbours (Å) after each atom.
Sites, in units of the cell vectors:
Ac  0.6667  0.3333  0.4993  3 H 2.45
H  0.3333  0.6667  0.5012  3 Ac 2.45
Au  0.0000  0.0000  0.9994  6 H 3.30-3.31, 6 Ac 3.30

- Among the records above, which one has the highest DOS at the Fermi energy?
  AcHAu

- Among the records above, which one has the highest electronic total energy?
  AcHAu

- The lowest DOS at the Fermi energy belongs to which entry?
  AcH6Au